{
  "formula": "Ag5SbTe6",
  "functional": "GGA-PBE",
  "state": "relaxed",
  "density_g_cm3": 7.477,
  "formation_energy_uncorrected_ev_per_atom": -0.029,
  "cell": [[7.327, 0.243, 0.000], [2.296, 6.983, 0.000], [1.148, 3.492, 6.261]],
  "species": ["Ag", "Te", "Te", "Ag", "Sb", "Te", "Ag", "Ag", "Te", "Ag", "Te", "Te"],
  "frac_coords": [[0.500, 0.155, 0.691], [0.230, 0.278, 0.000], [0.269, 0.934, 0.658], [0.500, 0.845, 0.309], [0.000, 0.000, 0.000], [0.731, 0.066, 0.342], [0.000, 0.327, 0.345], [0.000, 0.673, 0.655], [0.731, 0.407, 0.658], [0.500, 0.500, 0.000], [0.269, 0.593, 0.342], [0.770, 0.722, 0.000]]
}

=====

{
  "formula": "CsRb5Hg8",
  "functional": "GGA-PBE",
  "state": "relaxed",
  "density_g_cm3": 5.778,
  "formation_enthalpy_0k_ev_per_fu": -2.90,
  "cell": [[-7.170, 3.728, -4.847], [-4.880, -6.910, 4.152], [4.582, 5.871, 5.774]],
  "species": ["Rb", "Hg", "Hg", "Rb", "Rb", "Hg", "Rb", "Hg", "Cs", "Hg", "Hg", "Hg", "Rb", "Hg"],
  "frac_coords": [[0.988, 0.090, 0.438], [0.640, 0.910, 0.489], [0.184, 0.249, 0.232], [0.651, 0.549, 0.562], [0.910, 0.349, 0.898], [0.048, 0.816, 0.065], [0.451, 0.012, 0.102], [0.420, 0.150, 0.511], [0.250, 0.750, 0.500], [0.850, 0.360, 0.270], [0.017, 0.952, 0.768], [0.751, 0.983, 0.935], [0.500, 0.500, 0.000], [0.090, 0.580, 0.730]]
}

=====

{
  "formula": "ErLuFe",
  "functional": "GGA-PBE",
  "state": "relaxed",
  "density_g_cm3": 9.858,
  "formation_enthalpy_0k_ev_per_fu": -0.05,
  "cell": [[3.276, 0.000, 0.000], [0.000, 3.276, 0.000], [-1.638, -1.638, 6.249]],
  "species": ["Er", "Lu", "Fe"],
  "frac_coords": [[0.294, 0.294, 0.588], [0.041, 0.041, 0.082], [0.665, 0.665, 0.331]]
}

=====

{
  "formula": "Rb2MgVBr6",
  "functional": "GGA-PBE",
  "state": "relaxed",
  "density_g_cm3": 3.796,
  "de_polymorph_ev_per_atom": 0.000,
  "formation_energy_uncorrected_ev_per_atom": -1.374,
  "cell": [[-5.167, -3.097, 4.628], [1.766, -1.431, 7.248], [-5.155, 10.089, 7.229]],
  "species": ["Br", "Rb", "Br", "V", "Br", "Br", "Br", "Rb", "Mg", "V", "Br", "Br", "Br", "Mg", "Br", "Rb", "Rb", "Br", "Br", "Br"],
  "frac_coords": [[0.863, 0.384, 0.369], [0.120, 0.120, 0.640], [0.208, 0.208, 0.877], [0.415, 0.415, 0.756], [0.792, 0.294, 0.123], [0.384, 0.384, 0.369], [0.294, 0.792, 0.123], [0.880, 0.880, 0.360], [0.500, 0.500, 0.500], [0.585, 0.585, 0.244], [0.384, 0.863, 0.369], [0.616, 0.137, 0.631], [0.137, 0.616, 0.631], [0.000, 0.000, 0.000], [0.706, 0.208, 0.877], [0.294, 0.294, 0.119], [0.706, 0.706, 0.881], [0.792, 0.792, 0.123], [0.616, 0.616, 0.631], [0.208, 0.706, 0.877]]
}

=====

{
  "formula": "Th2NbCu",
  "functional": "GGA-PBE",
  "state": "relaxed",
  "density_g_cm3": 10.577,
  "de_polymorph_ev_per_atom": 0.000,
  "formation_enthalpy_0k_ev_per_fu": 0.57,
  "cell": [[-3.603, -0.075, 0.502], [0.209, -3.499, 0.978], [0.934, 2.016, 7.014]],
  "species": ["Cu", "Th", "Nb", "Th"],
  "frac_coords": [[0.500, 0.500, 0.000], [0.000, 0.000, 0.248], [0.500, 0.500, 0.500], [0.000, 0.000, 0.752]]
}

=====

{
  "formula": "Ta2CrRh",
  "functional": "GGA-PBE",
  "state": "relaxed",
  "density_g_cm3": 13.725,
  "formation_enthalpy_0k_ev_per_fu": -0.44,
  "cell": [[-2.064, 0.437, 1.873], [-1.144, -0.638, -2.499], [0.115, -8.065, 2.006]],
  "species": ["Cr", "Rh", "Ta", "Ta"],
  "frac_coords": [[0.500, 0.500, 0.250], [0.500, 0.500, 0.750], [0.000, 0.000, 0.491], [0.000, 0.000, 0.009]]
}